# KRbSnTe2 PBE-GGA relaxed
data_KRbSnTe2
_chemical_formula_sum 'K4 Rb4 Sn4 Te8'
_cell_length_a 14.795
_cell_length_b 4.584
_cell_length_c 13.594
_cell_angle_alpha 90.00
_cell_angle_beta 102.81
_cell_angle_gamma 90.00
_space_group_name_H-M_alt 'C 1 2/m 1'
_space_group_IT_number 12
_space_group_name_Hall '-C 2y'
loop_
_atom_site_label
_atom_site_fract_x
_atom_site_fract_y
_atom_site_fract_z
K1 0.145 0.000 0.042
Rb1 0.151 0.000 0.647
Sn1 0.072 0.500 0.221
Te1 0.111 0.000 0.364
Te2 0.124 0.500 0.846
# Spin magnetization (μB per formula unit): 0.00
# Formation energy (no corrections) (meV/atom): -701.5
# Total energy (eV per atom): -3.17

***

# Cr5Bi3S12 PBE-GGA relaxed
data_Cr5Bi3S12
_chemical_formula_sum 'Cr40 Bi24 S96'
_cell_length_a 15.070
_cell_length_b 15.070
_cell_length_c 15.070
_cell_angle_alpha 90.00
_cell_angle_beta 90.00
_cell_angle_gamma 90.00
_space_group_name_H-M_alt 'I a -3 d'
_space_group_IT_number 230
_space_group_name_Hall '-I 4bd 2c 3'
loop_
_atom_site_label
_atom_site_fract_x
_atom_site_fract_y
_atom_site_fract_z
Cr1 0.000 0.000 0.000
Cr2 0.000 0.250 0.375
Bi1 0.000 0.250 0.125
S1 0.030 0.054 0.649
# Spin magnetization (μB per formula unit): 15.00
# Formation energy (no corrections) (meV/atom): -418.4
# Total energy (eV per atom): -5.88

***

# Si2NiAsPt PBE-GGA relaxed
data_Si2NiAsPt
_chemical_formula_sum 'Si2 Ni1 As1 Pt1'
_cell_length_a 4.273
_cell_length_b 4.273
_cell_length_c 4.728
_cell_angle_alpha 90.00
_cell_angle_beta 90.00
_cell_angle_gamma 90.00
_space_group_name_H-M_alt 'P 4/m m m'
_space_group_IT_number 123
_space_group_name_Hall '-P 4 2'
loop_
_atom_site_label
_atom_site_fract_x
_atom_site_fract_y
_atom_site_fract_z
Si1 0.000 0.500 0.000
Ni1 0.000 0.000 0.000
As1 0.000 0.000 0.500
Pt1 0.500 0.500 0.500
# Spin magnetization (μB per formula unit): 0.00
# Formation energy (no corrections) (meV/atom): 393.0
# Total energy (eV per atom): -5.07

***

# Mg4SnHg PBE-GGA relaxed
data_Mg4SnHg
_chemical_formula_sum 'Mg8 Sn2 Hg2'
_cell_length_a 8.208
_cell_length_b 4.741
_cell_length_c 8.319
_cell_angle_alpha 90.00
_cell_angle_beta 109.12
_cell_angle_gamma 90.00
_space_group_name_H-M_alt 'C 1 2/m 1'
_space_group_IT_number 12
_space_group_name_Hall '-C 2y'
loop_
_atom_site_label
_atom_site_fract_x
_atom_site_fract_y
_atom_site_fract_z
Mg1 0.122 0.000 0.366
Mg2 0.127 0.500 0.879
Sn1 0.000 0.500 0.500
Hg1 0.000 0.000 0.000
# Spin magnetization (μB per formula unit): 0.00
# Formation enthalpy at 0 K (eV per atom): -0.15
# Energy above the lowest structure with this stoichiometry (meV per atom): 0
# Total energy (eV per atom): -1.93

***

# LiPr3Sm2S6 PBE-GGA relaxed
data_LiPr3Sm2S6
_chemical_formula_sum 'Li2 Pr6 Sm4 S12'
_cell_length_a 6.958
_cell_length_b 12.096
_cell_length_c 7.011
_cell_angle_alpha 90.00
_cell_angle_beta 109.49
_cell_angle_gamma 90.00
_space_group_name_H-M_alt 'C 1 2/m 1'
_space_group_IT_number 12
_space_group_name_Hall '-C 2y'
loop_
_atom_site_label
_atom_site_fract_x
_atom_site_fract_y
_atom_site_fract_z
Li1 0.000 0.000 0.000
Pr1 0.000 0.166 0.500
Pr2 0.000 0.500 0.500
Sm1 0.000 0.334 0.000
S1 0.242 0.163 0.237
S2 0.245 0.000 0.765
# Spin magnetization (μB per formula unit): 0.00
# Formation energy (no corrections) (meV/atom): -1954.8
# Total energy (eV per atom): -6.16

***

# Ba4NaTlPb2 PBE-GGA relaxed
data_Ba4NaTlPb2
_chemical_formula_sum 'Ba12 Na3 Tl3 Pb6'
_cell_length_a 6.1454
_cell_length_b 6.1454
_cell_length_c 29.9740
_cell_angle_alpha 90.00
_cell_angle_beta 90.00
_cell_angle_gamma 120.00
_space_group_name_H-M_alt 'R -3 m'
_space_group_IT_number 166
_space_group_name_Hall '-R 3 2"'
loop_
_atom_site_label
_atom_site_fract_x
_atom_site_fract_y
_atom_site_fract_z
Ba1 0.0000 0.0000 0.1204
Ba2 0.0000 0.0000 0.3707
Na1 0.0000 0.0000 0.5000
Tl1 0.0000 0.0000 0.0000
Pb1 0.0000 0.0000 0.2456
# Spin magnetization (μB per formula unit): 0.00
# Formation enthalpy at 0 K (eV per atom): -0.43
# Total energy (eV per atom): -2.78

***

# MgTcGe PBE-GGA relaxed
data_MgTcGe
_chemical_formula_sum 'Mg2 Tc2 Ge2'
_cell_length_a 3.008
_cell_length_b 5.350
_cell_length_c 7.122
_cell_angle_alpha 72.25
_cell_angle_beta 89.97
_cell_angle_gamma 75.74
_space_group_name_H-M_alt 'P -1'
_space_group_IT_number 2
_space_group_name_Hall '-P 1'
loop_
_atom_site_label
_atom_site_fract_x
_atom_site_fract_y
_atom_site_fract_z
Mg1 0.097 0.299 0.318
Tc1 0.373 0.726 0.020
Ge1 0.192 0.154 0.722
# Spin magnetization (μB per formula unit): 0.00
# Formation enthalpy at 0 K (eV per atom): -0.10
# Energy above the lowest structure with this stoichiometry (meV per atom): 67
# Total energy (eV per atom): -5.62

***

# In6S8I PBE-GGA relaxed
data_In6S8I
_chemical_formula_sum 'In18 S24 I3'
_cell_length_a 10.8709
_cell_length_b 10.8709
_cell_length_c 12.7148
_cell_angle_alpha 90.00
_cell_angle_beta 90.00
_cell_angle_gamma 120.00
_space_group_name_H-M_alt 'R -3'
_space_group_IT_number 148
_space_group_name_Hall '-R 3'
loop_
_atom_site_label
_atom_site_fract_x
_atom_site_fract_y
_atom_site_fract_z
In1 0.0156 0.2099 0.1282
S1 0.0000 0.0000 0.2296
S2 0.0028 0.7259 0.0725
I1 0.0000 0.0000 0.5000
# Spin magnetization (μB per formula unit): 0.00
# Formation energy (no corrections) (meV/atom): -318.8
# Total energy (eV per atom): -3.72

***

# NaZr2CrMo PBE-GGA relaxed
data_NaZr2CrMo
_chemical_formula_sum 'Na1 Zr2 Cr1 Mo1'
_cell_length_a 4.710
_cell_length_b 4.710
_cell_length_c 4.822
_cell_angle_alpha 90.00
_cell_angle_beta 90.00
_cell_angle_gamma 90.00
_space_group_name_H-M_alt 'P 4/m m m'
_space_group_IT_number 123
_space_group_name_Hall '-P 4 2'
loop_
_atom_site_label
_atom_site_fract_x
_atom_site_fract_y
_atom_site_fract_z
Na1 0.000 0.000 0.000
Zr1 0.000 0.500 0.500
Cr1 0.000 0.000 0.500
Mo1 0.500 0.500 0.000
# Spin magnetization (μB per formula unit): 0.00
# Formation enthalpy at 0 K (eV per atom): 1.39
# Total energy (eV per atom): -6.38

***

# YGa2Ni5Au PBE-GGA relaxed
data_YGa2Ni5Au
_chemical_formula_sum 'Y1 Ga2 Ni5 Au1'
_cell_length_a 3.790
_cell_length_b 3.790
_cell_length_c 9.302
_cell_angle_alpha 90.00
_cell_angle_beta 90.00
_cell_angle_gamma 90.00
_space_group_name_H-M_alt 'P 4/m m m'
_space_group_IT_number 123
_space_group_name_Hall '-P 4 2'
loop_
_atom_site_label
_atom_site_fract_x
_atom_site_fract_y
_atom_site_fract_z
Y1 0.000 0.000 0.000
Ga1 0.500 0.500 0.367
Ni1 0.000 0.500 0.217
Ni2 0.500 0.500 0.000
Au1 0.000 0.000 0.500
# Spin magnetization (μB per formula unit): 0.00
# Formation enthalpy at 0 K (eV per atom): -0.11
# Total energy (eV per atom): -5.08